Entry 1:
{"formula": "Zr3TcW", "functional": "PBE-GGA", "state": "optimized geometry", "cell": [[5.0130, 0.0000, 0.0000], [0.0000, 5.0130, 0.0000], [0.0000, 0.0000, 5.0130]], "species": ["Zr", "Zr", "Zr", "Tc", "W"], "frac_coords": [[0.0000, 0.0000, 0.5000], [0.0000, 0.5000, 0.0000], [0.5000, 0.0000, 0.0000], [0.5000, 0.5000, 0.5000], [0.0000, 0.0000, 0.0000]], "space_group": "Pm-3m", "energy_ev_per_atom": -8.52, "de_polymorph_mev_per_atom": 220.7, "magnetic_moment_mub_per_cell": 1.01, "ef_mev_per_atom": 1277, "dos_at_fermi_per_ev_atom": 1.0475, "rho_g_cm3": 7.3}



Entry 2:
{"formula": "LiTiIn2Ni", "functional": "PBE-GGA", "state": "optimized geometry", "cell": [[5.2802, 0.0000, 0.0000], [0.0000, 5.2802, 0.0000], [0.0000, 0.0000, 4.8423]], "species": ["Li", "Ti", "In", "In", "Ni"], "frac_coords": [[0.0000, 0.0000, 0.0000], [0.0000, 0.0000, 0.5000], [0.0000, 0.5000, 0.5000], [0.5000, 0.0000, 0.5000], [0.5000, 0.5000, 0.0000]], "space_group": "P4/mmm", "energy_ev_per_atom": -3.07, "magnetic_moment_mub_per_cell": 2.77, "ef_mev_per_atom": 1144, "dos_at_fermi_per_ev_atom": 1.1586, "rho_g_cm3": 4.2}



Entry 3:
{"formula": "SrCoIr2", "functional": "PBE-GGA", "state": "optimized geometry", "cell": [[3.0432, 0.0000, 0.0000], [0.0000, 3.0432, 0.0000], [0.0000, 0.0000, 7.6425]], "species": ["Sr", "Co", "Ir", "Ir"], "frac_coords": [[0.0000, 0.0000, 0.0000], [0.5000, 0.5000, 0.3086], [0.0000, 0.0000, 0.4745], [0.5000, 0.5000, 0.6893]], "space_group": "P4mm", "energy_ev_per_atom": -6.26, "de_polymorph_mev_per_atom": 440.6, "magnetic_moment_mub_per_cell": 1.06, "ef_mev_per_atom": 368, "dos_at_fermi_per_ev_atom": 0.6769, "rho_g_cm3": 12.5}